Entry 1:
# Al2InPt, optimized geometry, DFT PBE-GGA
# Formation energy from the elements, meV per atom: -328
# E_tot, eV/f.u.: -17.57
data_Al2InPt
_cell_length_a 3.1804
_cell_length_b 3.1804
_cell_length_c 25.3042
_cell_angle_alpha 90.00
_cell_angle_beta 90.00
_cell_angle_gamma 120.00
_space_group_name_H-M_alt 'R -3 m'
_space_group_IT_number 166
_space_group_name_Hall '-R 3 2"'
loop_
_atom_site_label
_atom_site_type_symbol
_atom_site_fract_x
_atom_site_fract_y
_atom_site_fract_z
Al1 Al 0.0000 0.0000 0.2381
In1 In 0.0000 0.0000 0.0000
Pt1 Pt 0.0000 0.0000 0.5000



Entry 2:
# AlInPt, optimized geometry, DFT PBE-GGA
# Formation energy from the elements, meV per atom: -351
# E_tot, eV/f.u.: -13.57
data_AlInPt
_cell_length_a 3.1770
_cell_length_b 3.1770
_cell_length_c 6.4191
_cell_angle_alpha 90.00
_cell_angle_beta 90.00
_cell_angle_gamma 120.00
_space_group_name_H-M_alt 'P 3 m 1'
_space_group_IT_number 156
loop_
_space_group_symop_operation_xyz
'x,y,z'
'-y,x-y,z'
'-x+y,-x,z'
'-y,-x,z'
'-x+y,y,z'
'x,x-y,z'
loop_
_atom_site_label
_atom_site_type_symbol
_atom_site_fract_x
_atom_site_fract_y
_atom_site_fract_z
Al1 Al 0.0000 0.0000 0.0000
In1 In 0.6667 0.3333 0.3824
Pt1 Pt 0.3333 0.6667 0.7300



Entry 3:
# AlInPt5, optimized geometry, DFT PBE-GGA
# Formation energy from the elements, meV per atom: -496
# E_tot, eV/f.u.: -40.15
data_AlInPt5
_cell_length_a 4.028
_cell_length_b 4.028
_cell_length_c 7.191
_cell_angle_alpha 90.00
_cell_angle_beta 90.00
_cell_angle_gamma 90.00
_space_group_name_H-M_alt 'P 4/m m m'
_space_group_IT_number 123
_space_group_name_Hall '-P 4 2'
loop_
_atom_site_label
_atom_site_type_symbol
_atom_site_fract_x
_atom_site_fract_y
_atom_site_fract_z
Al1 Al 0.000 0.000 0.000
In1 In 0.500 0.500 0.500
Pt1 Pt 0.000 0.000 0.500
Pt2 Pt 0.000 0.500 0.212



Entry 4:
# Al2InPt, optimized geometry, DFT PBE-GGA
# Formation energy from the elements, meV per atom: -292
# E_tot, eV/f.u.: -17.43
data_Al2InPt
_cell_length_a 2.971
_cell_length_b 2.971
_cell_length_c 8.132
_cell_angle_alpha 90.00
_cell_angle_beta 90.00
_cell_angle_gamma 90.00
_space_group_name_H-M_alt 'P 4 m m'
_space_group_IT_number 99
loop_
_space_group_symop_operation_xyz
'x,y,z'
'-y,x,z'
'-x,-y,z'
'y,-x,z'
'-x,y,z'
'y,x,z'
'x,-y,z'
'-y,-x,z'
loop_
_atom_site_label
_atom_site_type_symbol
_atom_site_fract_x
_atom_site_fract_y
_atom_site_fract_z
Al1 Al 0.000 0.000 0.000
Al2 Al 0.500 0.500 0.246
In1 In 0.000 0.000 0.544
Pt1 Pt 0.500 0.500 0.813



Entry 5:
# Al2InPt, optimized geometry, DFT PBE-GGA
# Formation energy from the elements, meV per atom: -363
# E_tot, eV/f.u.: -17.71
data_Al2InPt
_cell_length_a 3.041
_cell_length_b 3.041
_cell_length_c 7.936
_cell_angle_alpha 90.00
_cell_angle_beta 90.00
_cell_angle_gamma 90.00
_space_group_name_H-M_alt 'P 4/m m m'
_space_group_IT_number 123
_space_group_name_Hall '-P 4 2'
loop_
_atom_site_label
_atom_site_type_symbol
_atom_site_fract_x
_atom_site_fract_y
_atom_site_fract_z
Al1 Al 0.000 0.000 0.198
In1 In 0.500 0.500 0.500
Pt1 Pt 0.500 0.500 0.000



Entry 6:
# Al2InPt, optimized geometry, DFT PBE-GGA
# Formation energy from the elements, meV per atom: -204
# E_tot, eV/f.u.: -17.08
data_Al2InPt
_cell_length_a 4.155
_cell_length_b 4.155
_cell_length_c 8.050
_cell_angle_alpha 90.00
_cell_angle_beta 90.00
_cell_angle_gamma 90.00
_space_group_name_H-M_alt 'I 4/m m m'
_space_group_IT_number 139
_space_group_name_Hall '-I 4 2'
loop_
_atom_site_label
_atom_site_type_symbol
_atom_site_fract_x
_atom_site_fract_y
_atom_site_fract_z
Al1 Al 0.000 0.500 0.250
In1 In 0.000 0.000 0.000
Pt1 Pt 0.000 0.000 0.500



Entry 7:
# AlIn2Pt2, optimized geometry, DFT PBE-GGA
# Formation energy from the elements, meV per atom: -458
# E_tot, eV/f.u.: -23.59
data_AlIn2Pt2
_cell_length_a 6.851
_cell_length_b 6.851
_cell_length_c 4.038
_cell_angle_alpha 90.00
_cell_angle_beta 90.00
_cell_angle_gamma 90.00
_space_group_name_H-M_alt 'P 4/m b m'
_space_group_IT_number 127
_space_group_name_Hall '-P 4 2ab'
loop_
_atom_site_label
_atom_site_type_symbol
_atom_site_fract_x
_atom_site_fract_y
_atom_site_fract_z
Al1 Al 0.000 0.000 0.000
In1 In 0.157 0.343 0.500
Pt1 Pt 0.152 0.652 0.000



Entry 8:
# Al2InPt, optimized geometry, DFT PBE-GGA
# Formation energy from the elements, meV per atom: -321
# E_tot, eV/f.u.: -17.55
data_Al2InPt
_cell_length_a 8.686
_cell_length_b 3.439
_cell_length_c 5.027
_cell_angle_alpha 90.00
_cell_angle_beta 99.40
_cell_angle_gamma 90.00
_space_group_name_H-M_alt 'C 1 m 1'
_space_group_IT_number 8
loop_
_space_group_symop_operation_xyz
'x,y,z'
'x,-y,z'
'x+1/2,y+1/2,z'
'x+1/2,-y+1/2,z'
loop_
_atom_site_label
_atom_site_type_symbol
_atom_site_fract_x
_atom_site_fract_y
_atom_site_fract_z
Al1 Al 0.000 0.000 0.000
Al2 Al 0.247 0.000 0.761
In1 In 0.482 0.000 0.468
Pt1 Pt 0.227 0.500 0.133



Entry 9:
# Al2InPt2, optimized geometry, DFT PBE-GGA
# Formation energy from the elements, meV per atom: -484
# E_tot, eV/f.u.: -24.73
data_Al2InPt2
_cell_length_a 4.048
_cell_length_b 4.048
_cell_length_c 11.429
_cell_angle_alpha 90.00
_cell_angle_beta 90.00
_cell_angle_gamma 90.00
_space_group_name_H-M_alt 'I 4/m m m'
_space_group_IT_number 139
_space_group_name_Hall '-I 4 2'
loop_
_atom_site_label
_atom_site_type_symbol
_atom_site_fract_x
_atom_site_fract_y
_atom_site_fract_z
Al1 Al 0.000 0.000 0.119
In1 In 0.000 0.000 0.500
Pt1 Pt 0.000 0.500 0.250



Entry 10:
# AlIn3Pt, optimized geometry, DFT PBE-GGA
# Formation energy from the elements, meV per atom: 639
# Energy above the most stable polymorph in this dataset, meV/atom: 557
# E_tot, eV/f.u.: -14.81
data_AlIn3Pt
_cell_length_a 5.163
_cell_length_b 5.163
_cell_length_c 5.163
_cell_angle_alpha 90.00
_cell_angle_beta 90.00
_cell_angle_gamma 90.00
_space_group_name_H-M_alt 'P m -3 m'
_space_group_IT_number 221
_space_group_name_Hall '-P 4 2 3'
loop_
_atom_site_label
_atom_site_type_symbol
_atom_site_fract_x
_atom_site_fract_y
_atom_site_fract_z
Al1 Al 0.000 0.000 0.000
In1 In 0.000 0.000 0.500
Pt1 Pt 0.500 0.500 0.500



Entry 11:
# AlIn2Pt9, optimized geometry, DFT PBE-GGA
# Formation energy from the elements, meV per atom: -483
# E_tot, eV/f.u.: -69.39
data_AlIn2Pt9
_cell_length_a 4.007
_cell_length_b 4.007
_cell_length_c 12.031
_cell_angle_alpha 90.00
_cell_angle_beta 90.00
_cell_angle_gamma 90.00
_space_group_name_H-M_alt 'P 4/m m m'
_space_group_IT_number 123
_space_group_name_Hall '-P 4 2'
loop_
_atom_site_label
_atom_site_type_symbol
_atom_site_fract_x
_atom_site_fract_y
_atom_site_fract_z
Al1 Al 0.000 0.000 0.000
In1 In 0.000 0.000 0.330
Pt1 Pt 0.000 0.500 0.156
Pt2 Pt 0.000 0.500 0.500
Pt3 Pt 0.500 0.500 0.000
Pt4 Pt 0.500 0.500 0.328



Entry 12:
# AlInPt, optimized geometry, DFT PBE-GGA
# Formation energy from the elements, meV per atom: -600
# E_tot, eV/f.u.: -14.32
data_AlInPt
_cell_length_a 6.225
_cell_length_b 6.225
_cell_length_c 6.225
_cell_angle_alpha 90.00
_cell_angle_beta 90.00
_cell_angle_gamma 90.00
_space_group_name_H-M_alt 'F -4 3 m'
_space_group_IT_number 216
_space_group_name_Hall 'F -4 2 3'
loop_
_atom_site_label
_atom_site_type_symbol
_atom_site_fract_x
_atom_site_fract_y
_atom_site_fract_z
Al1 Al 0.000 0.000 0.000
In1 In 0.000 0.000 0.500
Pt1 Pt 0.250 0.250 0.750



Entry 13:
# AlInPt3, optimized geometry, DFT PBE-GGA
# Formation energy from the elements, meV per atom: 106
# Energy above the most stable polymorph in this dataset, meV/atom: 0
# E_tot, eV/f.u.: -24.08
data_AlInPt3
_cell_length_a 4.602
_cell_length_b 4.602
_cell_length_c 4.602
_cell_angle_alpha 90.00
_cell_angle_beta 90.00
_cell_angle_gamma 90.00
_space_group_name_H-M_alt 'P m -3 m'
_space_group_IT_number 221
_space_group_name_Hall '-P 4 2 3'
loop_
_atom_site_label
_atom_site_type_symbol
_atom_site_fract_x
_atom_site_fract_y
_atom_site_fract_z
Al1 Al 0.000 0.000 0.000
In1 In 0.500 0.500 0.500
Pt1 Pt 0.000 0.000 0.500



Entry 14:
# Al2InPt, optimized geometry, DFT PBE-GGA
# Formation energy from the elements, meV per atom: -193
# E_tot, eV/f.u.: -17.04
data_Al2InPt
_cell_length_a 4.118
_cell_length_b 4.118
_cell_length_c 8.224
_cell_angle_alpha 90.00
_cell_angle_beta 90.00
_cell_angle_gamma 90.00
_space_group_name_H-M_alt 'I -4 m 2'
_space_group_IT_number 119
_space_group_name_Hall 'I -4 -2'
loop_
_atom_site_label
_atom_site_type_symbol
_atom_site_fract_x
_atom_site_fract_y
_atom_site_fract_z
Al1 Al 0.000 0.000 0.000
Al2 Al 0.000 0.500 0.250
In1 In 0.000 0.500 0.750
Pt1 Pt 0.000 0.000 0.500